! HRu2Cl (GGA-PBE, relaxed); values from VASP
&SYSTEM
  ibrav = 0, nat = 4, ntyp = 3
/
ATOMIC_SPECIES
Cl 35.45 Cl.upf
Ru 101.07 Ru.upf
H 1.01 H.upf
CELL_PARAMETERS angstrom
-0.7938 -2.5305 3.0377
-3.6465 -0.0024 1.7217
-2.4970 -3.1146 -0.5705
ATOMIC_POSITIONS angstrom
Cl -3.4687 -2.8237 2.0945
Ru -5.2030 -4.2356 3.1417
Ru -1.7343 -1.4119 1.0472
H 0.0000 0.0000 0.0000
! Raw total energy   -19.395 eV/cell
! Symmetry   Fm-3m (225)
! D(E_F)   3.6 states/eV per cell
! Calculated density   8.5 Mg/m³
! Magnetization   0.0000 μB/atom
! Energy above the lowest structure with this stoichiometry   592 meV per atom